Density functional theory data (PBEsol) for a relaxed structure of Na3CrSi.

Structure (CIF):
```
data_Na3CrSi
_chemical_formula_sum 'Na3 Cr1 Si1'
_cell_length_a 5.445
_cell_length_b 5.445
_cell_length_c 5.445
_cell_angle_alpha 90.00
_cell_angle_beta 90.00
_cell_angle_gamma 90.00
_space_group_name_H-M_alt 'P 1'
_space_group_IT_number 1
_space_group_name_Hall 'P 1'
loop_
_atom_site_label
_atom_site_type_symbol
_atom_site_fract_x
_atom_site_fract_y
_atom_site_fract_z
_atom_site_occupancy
Na1 Na 0.000 0.500 0.000 1
Na2 Na 0.000 0.000 0.500 1
Na3 Na 0.500 0.000 0.000 1
Si1 Si 0.500 0.500 0.500 1
Cr1 Cr 0.000 0.000 0.000 1
```

Output
Magnetization   4.4 μB/f.u.
Density   1.5 g/cm³
Density of states at the Fermi level   3.2 states/eV/cell
Formation energy from raw total energies   120 kJ/mol of atoms
SG   No. 221